(1)
Material: CuPd2Rh
Method: DFT, PBE
State: relaxed

Summary:
Its calculated volume is 14.4 Å³/atom. The energy above the lowest structure with this stoichiometry is 0.0261 eV/atom. As for the density of states at the Fermi level: 1.3571 states/eV/atom. As for the crystal system: tetragonal. As for the space group: P4/mmm (123). For the formation energy, the calculation gives 0.040 eV/atom. The value obtained for the raw total energy is -5.42 eV/atom.

Cell lengths 3.836, 3.868, 3.868 Å; angles 90.00, 90.00, 90.00 degrees
Element x y z (fractional)
Pd 0.000 0.500 0.000
Pd 0.000 0.000 0.500
Cu 0.500 0.000 0.000
Rh 0.500 0.500 0.500

---

(2)
Material: Sb2AsIr
Method: DFT, PBE
State: relaxed

Summary:
Its calculated volume is 20.5 Å³/atom. The energy above the lowest structure with this stoichiometry is 0.4476 eV/atom. The uncorrected formation energy comes out at 38.9 kJ per mole of atoms. As for the density of states at the Fermi level: 0.7375 states/eV/atom. As for the crystal system: tetragonal. As for the space group: P4/mmm (123). The value obtained for the raw total energy is -5.04 eV/atom.

Cell lengths 3.176, 5.076, 5.076 Å; angles 90.00, 90.00, 90.00 degrees
Element x y z (fractional)
Sb 0.000 0.500 0.500
As 0.500 0.500 0.000
Sb 0.000 0.000 0.000
Ir 0.500 0.000 0.500

---

(3)
Material: Zr8TiBi2
Method: DFT, PBE
State: relaxed

Summary:
Its calculated volume is 23.8 Å³/atom. As for the density of states at the Fermi level: 0.9534 states/eV/atom. As for the crystal system: monoclinic. As for the space group: C2/m (12). For the formation energy, the calculation gives -0.001 eV/atom. The value obtained for the raw total energy is -7.64 eV/atom.

Cell lengths 5.489, 7.925, 7.925 Å; angles 122.76, 101.92, 101.92 degrees
Element x y z (fractional)
Zr 0.170 0.108 0.316
Ti 0.500 0.000 0.000
Zr 0.830 0.684 0.892
Zr 0.500 0.207 0.793
Bi 0.000 0.700 0.300
Zr 0.830 0.892 0.684
Bi 0.000 0.300 0.700
Zr 0.710 0.384 0.384
Zr 0.500 0.793 0.207
Zr 0.290 0.616 0.616
Zr 0.170 0.316 0.108